1.
## K2MoAu (PBE-GGA)

Data for a geometry-optimized K2MoAu structure.

Values from the calculation:
Its formation energy is 0.923 eV/atom. For the total magnetic moment, the calculation gives 4.90 μB per formula unit. For the energy relative to the lowest polymorph listed for this composition, the calculation gives 0.271 eV per atom.

a = 11.5594 Å, b = 11.5594 Å, c = 5.4664 Å
α = 90.00°, β = 90.00°, γ = 90.00°
Space group I-42d (No. 122)
Inequivalent atoms, fractional coordinates:
K 0.1103 0.2500 0.1250 (multiplicity 8)
Mo 0.0000 0.0000 0.5000 (multiplicity 4)
Au 0.0000 0.0000 0.0000 (multiplicity 4)


2.
## KMoAu (PBE-GGA)

Data for a geometry-optimized KMoAu structure.

Values from the calculation:
Its formation energy is 0.708 eV/atom. For the total magnetic moment, the calculation gives 0.00 μB per formula unit. For the energy relative to the lowest polymorph listed for this composition, the calculation gives 0.269 eV per atom.

a = 2.7388 Å, b = 4.3786 Å, c = 12.6310 Å
α = 90.00°, β = 90.00°, γ = 90.00°
Space group Imm2 (No. 44)
Inequivalent atoms, fractional coordinates:
K 0.0000 0.0000 0.0000 (multiplicity 2)
Mo 0.0000 0.0000 0.7239 (multiplicity 2)
Au 0.0000 0.0000 0.2932 (multiplicity 2)


3.
## K2MoAu2 (PBE-GGA)

Data for a geometry-optimized K2MoAu2 structure.

Values from the calculation:
Its formation energy is 0.464 eV/atom. For the total magnetic moment, the calculation gives 3.97 μB per formula unit. For the energy relative to the lowest polymorph listed for this composition, the calculation gives 0.000 eV per atom.

a = 7.2204 Å, b = 7.2204 Å, c = 5.4075 Å
α = 90.00°, β = 90.00°, γ = 90.00°
Space group P4/mbm (No. 127)
Inequivalent atoms, fractional coordinates:
K 0.1716 0.3284 0.0000 (multiplicity 4)
Mo 0.0000 0.0000 0.5000 (multiplicity 2)
Au 0.1382 0.6382 0.5000 (multiplicity 4)


4.
## K2MoAu (PBE-GGA)

Data for a geometry-optimized K2MoAu structure.

Values from the calculation:
Its formation energy is 0.975 eV/atom. For the total magnetic moment, the calculation gives 4.66 μB per formula unit. For the energy relative to the lowest polymorph listed for this composition, the calculation gives 0.323 eV per atom.

a = 4.5563 Å, b = 4.4969 Å, c = 6.2074 Å
α = 90.00°, β = 90.29°, γ = 90.00°
Space group P2/m (No. 10)
Inequivalent atoms, fractional coordinates:
K 0.0026 0.0000 0.2624 (multiplicity 2)
Mo 0.5000 0.5000 0.0000 (multiplicity 1)
Au 0.5000 0.5000 0.5000 (multiplicity 1)


5.
## K2MoAu (PBE-GGA)

Data for a geometry-optimized K2MoAu structure.

Values from the calculation:
Its formation energy is 0.987 eV/atom. For the total magnetic moment, the calculation gives 4.72 μB per formula unit. For the energy relative to the lowest polymorph listed for this composition, the calculation gives 0.335 eV per atom.

a = 6.2161 Å, b = 7.6139 Å, c = 5.1712 Å
α = 90.00°, β = 90.00°, γ = 90.00°
Space group Cmmm (No. 65)
Inequivalent atoms, fractional coordinates:
K 0.2500 0.2500 0.0000 (multiplicity 4)
Mo 0.0000 0.0000 0.5000 (multiplicity 2)
Au 0.0000 0.5000 0.5000 (multiplicity 2)


6.
## K2MoAu (PBE-GGA)

Data for a geometry-optimized K2MoAu structure.

Values from the calculation:
Its formation energy is 1.055 eV/atom. For the total magnetic moment, the calculation gives 5.13 μB per formula unit. For the energy relative to the lowest polymorph listed for this composition, the calculation gives 0.403 eV per atom.

a = 8.1620 Å, b = 8.1620 Å, c = 8.1620 Å
α = 90.00°, β = 90.00°, γ = 90.00°
Space group Fm-3m (No. 225)
Inequivalent atoms, fractional coordinates:
K 0.2500 0.2500 0.2500 (multiplicity 8)
Mo 0.0000 0.0000 0.0000 (multiplicity 4)
Au 0.0000 0.0000 0.5000 (multiplicity 4)


7.
## K2MoAu (PBE-GGA)

Data for a geometry-optimized K2MoAu structure.

Values from the calculation:
Its formation energy is 0.947 eV/atom. For the total magnetic moment, the calculation gives 4.68 μB per formula unit. For the energy relative to the lowest polymorph listed for this composition, the calculation gives 0.295 eV per atom.

a = 5.4880 Å, b = 5.4880 Å, c = 7.7846 Å
α = 90.00°, β = 90.00°, γ = 90.00°
Space group I-4m2 (No. 119)
Inequivalent atoms, fractional coordinates:
K 0.0000 0.0000 0.0000 (multiplicity 2)
K 0.0000 0.5000 0.2500 (multiplicity 2)
Mo 0.0000 0.5000 0.7500 (multiplicity 2)
Au 0.0000 0.0000 0.5000 (multiplicity 2)


8.
## KMoAu3 (PBE-GGA)

Data for a geometry-optimized KMoAu3 structure.

Values from the calculation:
Its formation energy is 0.519 eV/atom. For the total magnetic moment, the calculation gives 0.00 μB per formula unit. For the energy relative to the lowest polymorph listed for this composition, the calculation gives 0.000 eV per atom.

a = 5.1608 Å, b = 5.1608 Å, c = 5.1608 Å
α = 90.00°, β = 90.00°, γ = 90.00°
Space group Pm-3m (No. 221)
Inequivalent atoms, fractional coordinates:
K 0.0000 0.0000 0.0000 (multiplicity 1)
Mo 0.5000 0.5000 0.5000 (multiplicity 1)
Au 0.0000 0.5000 0.5000 (multiplicity 3)


9.
## K2MoAu (PBE-GGA)

Data for a geometry-optimized K2MoAu structure.

Values from the calculation:
Its formation energy is 0.703 eV/atom. For the total magnetic moment, the calculation gives 2.14 μB per formula unit. For the energy relative to the lowest polymorph listed for this composition, the calculation gives 0.051 eV per atom.

a = 20.4354 Å, b = 2.9313 Å, c = 4.7393 Å
α = 90.00°, β = 103.28°, γ = 90.00°
Space group C2/m (No. 12)
Inequivalent atoms, fractional coordinates:
K 0.1479 0.0000 0.1471 (multiplicity 4)
Mo 0.0000 0.0000 0.5000 (multiplicity 2)
Au 0.0000 0.5000 0.0000 (multiplicity 2)


10.
## KMoAu (PBE-GGA)

Data for a geometry-optimized KMoAu structure.

Values from the calculation:
Its formation energy is 0.854 eV/atom. For the total magnetic moment, the calculation gives 0.00 μB per formula unit. For the energy relative to the lowest polymorph listed for this composition, the calculation gives 0.416 eV per atom.

a = 2.9302 Å, b = 2.9302 Å, c = 8.4417 Å
α = 90.00°, β = 90.00°, γ = 120.00°
Space group P3m1 (No. 156)
Inequivalent atoms, fractional coordinates:
K 0.0000 0.0000 0.0000 (multiplicity 1)
Mo 0.6667 0.3333 0.3754 (multiplicity 1)
Au 0.3333 0.6667 0.6512 (multiplicity 1)


11.
## K2MoAu2 (PBE-GGA)

Data for a geometry-optimized K2MoAu2 structure.

Values from the calculation:
Its formation energy is 0.873 eV/atom. For the total magnetic moment, the calculation gives 4.50 μB per formula unit. For the energy relative to the lowest polymorph listed for this composition, the calculation gives 0.409 eV per atom.

a = 4.3820 Å, b = 4.3820 Å, c = 14.7241 Å
α = 90.00°, β = 90.00°, γ = 90.00°
Space group I4/mmm (No. 139)
Inequivalent atoms, fractional coordinates:
K 0.0000 0.5000 0.2500 (multiplicity 4)
Mo 0.0000 0.0000 0.0000 (multiplicity 2)
Au 0.0000 0.0000 0.4100 (multiplicity 4)


12.
## K2MoAu (PBE-GGA)

Data for a geometry-optimized K2MoAu structure.

Values from the calculation:
Its formation energy is 0.845 eV/atom. For the total magnetic moment, the calculation gives 4.72 μB per formula unit. For the energy relative to the lowest polymorph listed for this composition, the calculation gives 0.193 eV per atom.

a = 4.8335 Å, b = 5.1913 Å, c = 12.2608 Å
α = 90.00°, β = 90.00°, γ = 90.00°
Space group Amm2 (No. 38)
Inequivalent atoms, fractional coordinates:
K 0.0000 0.0000 0.0000 (multiplicity 2)
K 0.5000 0.0000 0.3006 (multiplicity 2)
Mo 0.0000 0.0000 0.6969 (multiplicity 2)
Au 0.5000 0.0000 0.5982 (multiplicity 2)